# 1
An optimized crystal structure of TlCuAgHg. Source: the Open Quantum Materials Database, functional PBE.

Polymorph energy (0 for the lowest one), meV per atom: 0
Crystal system: cubic
Density, g cm⁻³: 11.91

abc: 4.844 4.844 4.844
angles: 60.00 60.00 60.00
Fractional positions:
Ag 0.250 0.250 0.250
Cu 0.750 0.750 0.750
Hg 0.500 0.500 0.500
Tl 0.000 0.000 0.000

---

# 2
An optimized crystal structure of Te5W3Au. Source: the Open Quantum Materials Database, functional PBE.

Crystal system: hexagonal
Uncorrected energy, eV per atom: -5.987
Density, g cm⁻³: 9.91

abc: 5.748 5.748 8.115
angles: 90.00 90.00 120.00
Fractional positions:
Au 0.000 0.000 0.000
Te 0.667 0.333 0.222
Te 0.333 0.667 0.222
Te 0.000 0.000 0.500
Te 0.667 0.333 0.778
Te 0.333 0.667 0.778
W 0.500 0.000 0.500
W 0.000 0.500 0.500
W 0.500 0.500 0.500

---

# 3
An optimized crystal structure of LaScCd. Source: the Open Quantum Materials Database, functional PBE.

Polymorph energy (0 for the lowest one), meV per atom: 241
Crystal system: cubic
Density, g cm⁻³: 5.23

abc: 5.104 5.104 5.104
angles: 60.00 60.00 60.00
Fractional positions:
Cd 0.250 0.250 0.250
La 0.000 0.000 0.000
Sc 0.750 0.750 0.750